CrGe3Au | Alexandria | PBE-GGA | optimized geometry; energy = -5.0207 eV per atom; excess energy over the best structure of this formula in the dataset = 0.0000 eV/atom; energy relative to the elements = 0.330 eV per atom; symmetry = Pm-3m, No. 221
1.0
4.665 0.000 0.000
0.000 4.665 0.000
0.000 0.000 4.665
Cr Ge Au
1 3 1
direct
0.000 0.000 0.000
0.000 0.000 0.500
0.000 0.500 0.000
0.500 0.000 0.000
0.500 0.500 0.500

CdHg4Cl | Alexandria | PBE-GGA | optimized geometry; energy = -0.6684 eV per atom; formation energy without anion corrections = -0.007 eV per atom; symmetry = F-43m, No. 216
1.0
0.000 4.345 4.345
4.345 0.000 4.345
4.345 4.345 0.000
Cd Hg Cl
1 4 1
direct
0.000 0.000 0.000
0.375 0.375 0.375
0.375 0.375 0.875
0.375 0.875 0.375
0.875 0.375 0.375
0.750 0.750 0.750

Ho4GeSbSe2 | Alexandria | PBE-GGA | optimized geometry; energy = -5.6644 eV per atom; formation energy without anion corrections = -1.412 eV per atom; symmetry = P2/m, No. 10
1.0
7.193 0.000 0.000
0.000 4.174 0.000
-2.423 0.000 6.850
Ho Ge Sb Se
4 1 1 2
direct
0.242 0.000 0.236
0.249 0.500 0.763
0.751 0.500 0.237
0.758 0.000 0.764
0.000 0.500 0.000
0.000 0.000 0.500
0.500 0.000 0.000
0.500 0.500 0.500

LuPuCdSi | Alexandria | PBE-GGA | optimized geometry; energy = -6.5114 eV per atom; formation energy without anion corrections = -0.214 eV per atom; symmetry = F-43m, No. 216
1.0
0.000 3.590 3.590
3.590 0.000 3.590
3.590 3.590 0.000
Lu Pu Cd Si
1 1 1 1
direct
0.000 0.000 0.000
0.500 0.500 0.500
0.750 0.750 0.750
0.250 0.250 0.250

Li2CuP2O7 | Alexandria | PBE-GGA | optimized geometry; energy = -6.4341 eV per atom; excess energy over the best structure of this formula in the dataset = 0.0583 eV/atom; formation energy without anion corrections = -1.980 eV per atom; symmetry = P-1, No. 2
1.0
5.652 0.000 0.000
-1.507 5.989 0.000
-0.620 -3.087 8.216
Li Cu P O
4 2 4 14
direct
0.148 0.257 0.454
0.280 0.707 0.268
0.720 0.293 0.732
0.852 0.743 0.546
0.117 0.111 0.881
0.883 0.889 0.119
0.242 0.647 0.907
0.375 0.800 0.624
0.625 0.200 0.376
0.758 0.353 0.093
0.059 0.808 0.924
0.080 0.386 0.830
0.186 0.949 0.664
0.267 0.591 0.465
0.362 0.059 0.370
0.400 0.694 0.771
0.418 0.710 0.061
0.582 0.290 0.939
0.600 0.306 0.229
0.638 0.941 0.630
0.733 0.409 0.535
0.814 0.051 0.336
0.920 0.614 0.170
0.941 0.192 0.076

Tb2NpAs3 | Alexandria | PBE-GGA | optimized geometry; energy = -7.2734 eV per atom; energy relative to the elements = -1.248 eV per atom; symmetry = I4/mmm, No. 139
1.0
-2.064 2.064 8.734
2.064 -2.064 8.734
2.064 2.064 -8.734
Tb Np As
2 1 3
direct
0.168 0.168 0.000
0.832 0.832 0.000
0.500 0.500 0.000
0.000 0.000 0.000
0.335 0.335 0.000
0.665 0.665 0.000